Record 1
Density functional theory data (GGA-PBE) for crystalline PuPaRu at its relaxed geometry.

a = 3.829 Å, b = 3.912 Å, c = 8.668 Å
α = 103.07°, β = 90.00°, γ = 90.00°
Last column: magnetic moment on the atom in μB.
Atoms (fractional coordinates):
Pu 0.625 0.855 0.354  -5.04
Pu 0.125 0.370 0.382  -5.07
Pa 0.625 0.534 0.711  -0.07
Pa 0.625 0.192 0.028  -0.06
Ru 0.125 0.017 0.677  0.03
Ru 0.125 0.709 0.061  0.03

Calculated values
Total moment ... 10.2 μB/cell
Space-group type ... Amm2
E_tot ... -11.188 eV/atom
Formation enthalpy at 0 K ... -0.153 eV per atom
Energy relative to the lowest polymorph listed for this composition ... 0.35 eV/f.u.

***

Record 2
Density functional theory data (GGA-PBE) for crystalline PuPaRu at its relaxed geometry.

a = 3.474 Å, b = 3.474 Å, c = 5.596 Å
α = 108.09°, β = 108.09°, γ = 90.00°
Last column: magnetic moment on the atom in μB.
Atoms (fractional coordinates):
Ru 0.674 0.674 0.348  -0.25
Pa 0.325 0.325 0.650  0.35
Pu 0.001 0.001 0.001  4.95

Calculated values
Total moment ... 5.2 μB/cell
Space-group type ... I4mm
E_tot ... -11.305 eV/atom
Formation enthalpy at 0 K ... -0.270 eV per atom
Energy relative to the lowest polymorph listed for this composition ... 0.00 eV/f.u.

***

Record 3
Density functional theory data (GGA-PBE) for crystalline PuPaRu at its relaxed geometry.

a = 4.719 Å, b = 4.719 Å, c = 4.719 Å
α = 60.00°, β = 60.00°, γ = 60.00°
Last column: magnetic moment on the atom in μB.
Atoms (fractional coordinates):
Ru 0.250 0.250 0.250  -0.28
Pa 0.500 0.500 0.500  1.00
Pu 0.000 0.000 0.000  5.33

Calculated values
Total moment ... 6.6 μB/cell
Space-group type ... F-43m
E_tot ... -10.998 eV/atom
Formation enthalpy at 0 K ... 0.036 eV per atom
Energy relative to the lowest polymorph listed for this composition ... 0.92 eV/f.u.

***

Record 4
Density functional theory data (GGA-PBE) for crystalline Pu6PaRu5 at its relaxed geometry.

a = 4.982 Å, b = 6.872 Å, c = 8.197 Å
α = 114.58°, β = 107.43°, γ = 90.60°
Last column: magnetic moment on the atom in μB.
Atoms (fractional coordinates):
Ru 0.341 0.841 0.683  -0.63
Ru 0.666 0.666 0.332  -0.73
Ru 0.000 0.500 0.000  -0.67
Ru 0.334 0.334 0.668  -0.73
Ru 0.659 0.159 0.317  -0.63
Pa 0.000 0.000 0.000  1.38
Pu 0.174 0.435 0.349  5.06
Pu 0.174 0.914 0.349  5.06
Pu 0.500 0.267 0.000  4.95
Pu 0.500 0.733 0.000  4.95
Pu 0.826 0.086 0.651  5.06
Pu 0.826 0.565 0.651  5.06

Calculated values
Total moment ... 29.4 μB/cell
Space-group type ... C2/m
E_tot ... -11.904 eV/atom
Formation enthalpy at 0 K ... -0.082 eV per atom

***

Record 5
Density functional theory data (GGA-PBE) for crystalline PuPa6Ru at its relaxed geometry.

a = 6.421 Å, b = 6.597 Å, c = 5.918 Å
α = 56.12°, β = 83.89°, γ = 78.99°
Atoms (fractional coordinates):
Pu 0.000 0.000 0.000
Pa 0.743 0.357 0.660
Pa 0.743 0.017 0.340
Pa 0.257 0.983 0.660
Pa 0.257 0.643 0.340
Pa 0.796 0.721 0.000
Pa 0.204 0.279 0.000
Ru 0.500 0.500 0.000

Calculated values
Total moment ... 0.0 μB/cell
Space-group type ... C2/m
E_tot ... -10.085 eV/atom
Formation enthalpy at 0 K ... -0.012 eV per atom

***

Record 6
Density functional theory data (GGA-PBE) for crystalline PuPaRu2 at its relaxed geometry.

a = 3.445 Å, b = 3.445 Å, c = 6.748 Å
α = 90.00°, β = 90.00°, γ = 90.00°
Last column: magnetic moment on the atom in μB.
Atoms (fractional coordinates):
Ru 0.000 0.000 0.773  -0.27
Ru 0.000 0.000 0.227  -0.27
Pa 0.500 0.500 0.000  0.34
Pu 0.500 0.500 0.500  5.15

Calculated values
Total moment ... 5.3 μB/cell
Space-group type ... P4/mmm
E_tot ... -10.875 eV/atom
Formation enthalpy at 0 K ... -0.280 eV per atom

***

Record 7
Density functional theory data (GGA-PBE) for crystalline Pu2Pa2Ru3 at its relaxed geometry.

a = 4.991 Å, b = 4.996 Å, c = 7.837 Å
α = 108.47°, β = 89.89°, γ = 120.01°
Last column: magnetic moment on the atom in μB.
Atoms (fractional coordinates):
Pu 0.625 0.251 0.877  5.23
Pu 0.375 0.749 0.123  5.23
Pa 0.877 0.754 0.632  0.41
Pa 0.123 0.246 0.368  0.41
Ru 0.000 0.000 0.000  -0.41
Ru 0.765 0.529 0.292  -0.15
Ru 0.235 0.471 0.708  -0.15

Calculated values
Total moment ... 11.3 μB/cell
Space-group type ... P-1
E_tot ... -10.990 eV/atom
Formation enthalpy at 0 K ... -0.207 eV per atom

***

Record 8
Density functional theory data (GGA-PBE) for crystalline PuPa2Ru4 at its relaxed geometry.

a = 5.761 Å, b = 7.226 Å, c = 8.099 Å
α = 125.37°, β = 89.08°, γ = 102.24°
Last column: magnetic moment on the atom in μB.
Atoms (fractional coordinates):
Pu 0.370 0.739 0.534  4.69
Pu 0.037 0.970 0.985  4.84
Pa 0.558 0.305 0.600  0.13
Pa 0.928 0.923 0.403  0.11
Pa 0.588 0.291 0.174  0.26
Pa 0.112 0.532 0.869  0.35
Ru 0.096 0.287 0.415  -0.17
Ru 0.064 0.471 0.184  -0.24
Ru 0.833 0.630 0.551  -0.18
Ru 0.772 0.118 0.791  -0.21
Ru 0.397 0.927 0.257  -0.05
Ru 0.280 0.172 0.814  -0.27
Ru 0.538 0.801 0.884  -0.24
Ru 0.676 0.583 0.039  -0.07

Calculated values
Total moment ... 9.4 μB/cell
Space-group type ... P1
E_tot ... -10.396 eV/atom
Formation enthalpy at 0 K ... -0.335 eV per atom

***

Record 9
Density functional theory data (GGA-PBE) for crystalline PuPaRu at its relaxed geometry.

a = 3.207 Å, b = 4.669 Å, c = 4.669 Å
α = 120.00°, β = 90.00°, γ = 90.00°
Last column: magnetic moment on the atom in μB.
Atoms (fractional coordinates):
Ru 0.325 0.333 0.667  -0.14
Pa 0.987 0.000 0.000  0.47
Pu 0.688 0.667 0.333  4.89

Calculated values
Total moment ... 5.3 μB/cell
Space-group type ... P3m1
E_tot ... -11.245 eV/atom
Formation enthalpy at 0 K ... -0.210 eV per atom
Energy relative to the lowest polymorph listed for this composition ... 0.18 eV/f.u.

***

Record 10
Density functional theory data (GGA-PBE) for crystalline PuPaRu2 at its relaxed geometry.

a = 6.186 Å, b = 6.186 Å, c = 5.634 Å
α = 112.10°, β = 112.10°, γ = 108.33°
Last column: magnetic moment on the atom in μB.
Atoms (fractional coordinates):
Pu 0.246 0.754 0.000  4.88
Pu 0.754 0.246 0.000  4.88
Pa 0.227 0.227 0.454  0.46
Pa 0.773 0.773 0.546  0.46
Ru 0.282 0.282 0.000  -0.14
Ru 0.750 0.250 0.500  -0.40
Ru 0.718 0.718 0.000  -0.14
Ru 0.250 0.750 0.500  -0.40

Calculated values
Total moment ... 10.0 μB/cell
Space-group type ... Fmmm
E_tot ... -10.878 eV/atom
Formation enthalpy at 0 K ... -0.283 eV per atom

***

Record 11
Density functional theory data (GGA-PBE) for crystalline Pu2PaRu at its relaxed geometry.

a = 3.436 Å, b = 3.436 Å, c = 7.134 Å
α = 90.00°, β = 90.00°, γ = 90.00°
Last column: magnetic moment on the atom in μB.
Atoms (fractional coordinates):
Ru 0.500 0.500 0.000  -0.66
Pa 0.500 0.500 0.500  0.09
Pu 0.000 0.000 0.777  4.78
Pu 0.000 0.000 0.223  4.78

Calculated values
Total moment ... 9.2 μB/cell
Space-group type ... P4/mmm
E_tot ... -11.930 eV/atom
Formation enthalpy at 0 K ... -0.071 eV per atom
Energy relative to the lowest polymorph listed for this composition ... 0.00 eV/f.u.

***

The highest formation enthalpy at 0 K belongs to which entry? number 3